VASP calculation (PBE) on a geometry-optimized HfTiVAu structure.

The energy comes out at -7.654 eV/atom. The total magnetic moment comes out at 3.71 Bohr magnetons per cell. The value obtained for the formation energy is -0.37 eV per formula unit.

It has space group F-43m (No. 216), with a = 6.529 Å, b = 6.529 Å, c = 6.529 Å, α = 90.00°, β = 90.00° and γ = 90.00°. The distinct sites, in fractional coordinates, are Hf at (0.000, 0.000, 0.000), Ti at (0.000, 0.000, 0.500), V at (0.250, 0.250, 0.250) and Au at (0.250, 0.250, 0.750).